No. 1
DFT (PBE) results for crystalline LaNbTlCr2 at its relaxed geometry.

abc: 4.7938 4.7938 5.4744
angles: 90.00 90.00 90.00
Atoms (fractional coordinates):
La1 0.0000 0.0000 0.0000
Nb1 0.5000 0.5000 0.5000
Tl1 0.5000 0.5000 0.0000
Cr1 0.0000 0.5000 0.5000
Cr2 0.5000 0.0000 0.5000

**Calculated density**: 7.13 g/cm3
**ΔE_f**: 3.8 eV/f.u.

***

No. 2
DFT (PBE) results for crystalline LaYNb2Cr at its relaxed geometry.

abc: 5.0797 5.0797 5.2491
angles: 90.00 90.00 90.00
Atoms (fractional coordinates):
La1 0.0000 0.0000 0.0000
Y1 0.5000 0.5000 0.5000
Nb1 0.0000 0.5000 0.5000
Nb2 0.5000 0.0000 0.5000
Cr1 0.5000 0.5000 0.0000

**Calculated density**: 5.71 g/cm3
**ΔE_f**: 7.3 eV/f.u.